(1)
The following is a DFT calculation (PBE+U) of a geometry-optimized CaTl3Ni2F9 structure.

* total DFT energy (no corrections): -66.65 eV for the cell shown

Cell: 6.0060 6.0060 7.4190 Å, 90.00 90.00 120.00°
Space group P-3m1 (No. 164)
Unique sites:
Ca  0.0000  0.0000  0.0000 (multiplicity 1)
Tl  0.0000  0.0000  0.5000 (multiplicity 1)
Tl  0.3333  0.6667  0.1808 (multiplicity 2)
Ni  0.3333  0.6667  0.6595 (multiplicity 2)
F  0.0000  0.5000  0.5000 (multiplicity 3)
F  0.1745  0.3489  0.8174 (multiplicity 6)

=====

(2)
The following is a DFT calculation (PBE+U) of a geometry-optimized CaTl2Ni3F12 structure.

* total DFT energy (no corrections): -232.82 eV for the cell shown

Cell: 7.4590 7.4590 14.7104 Å, 90.00 90.00 120.00°
Space group R-3m (No. 166, hexagonal axes)
Unique sites:
Ca  0.0000  0.0000  0.0000 (multiplicity 3)
Tl  0.0000  0.0000  0.4013 (multiplicity 6)
Ni  0.0000  0.5000  0.5000 (multiplicity 9)
F  0.0746  0.5373  0.3676 (multiplicity 18)
F  0.0856  0.5428  0.7985 (multiplicity 18)

=====

(3)
The following is a DFT calculation (PBE+U) of a geometry-optimized CaNiWF2 structure.

* total DFT energy (no corrections): -19.57 eV for the cell shown

Cell: 4.218 4.218 5.316 Å, 90.00 90.00 90.00°
Space group P4/mmm (No. 123)
Unique sites:
Ca  0.000  0.000  0.000 (multiplicity 1)
Ni  0.500  0.500  0.000 (multiplicity 1)
W  0.500  0.500  0.500 (multiplicity 1)
F  0.000  0.500  0.500 (multiplicity 2)

=====

(4)
The following is a DFT calculation (PBE+U) of a geometry-optimized CaZnNiF2 structure.

* total DFT energy (no corrections): -17.06 eV for the cell shown

Cell: 4.215 4.215 6.449 Å, 90.00 90.00 90.00°
Space group P4/mmm (No. 123)
Unique sites:
Ca  0.000  0.000  0.000 (multiplicity 1)
Zn  0.500  0.500  0.500 (multiplicity 1)
Ni  0.000  0.000  0.500 (multiplicity 1)
F  0.000  0.500  0.000 (multiplicity 2)

=====

(5)
The following is a DFT calculation (PBE+U) of a geometry-optimized CaZn2NiF8 structure.

* total DFT energy (no corrections): -103.66 eV for the cell shown

Cell: 5.183 5.183 11.049 Å, 90.00 90.00 90.00°
Space group I-4 (No. 82)
Unique sites:
Ca  0.000  0.000  0.000 (multiplicity 2)
Zn  0.000  0.000  0.500 (multiplicity 2)
Zn  0.000  0.500  0.750 (multiplicity 2)
Ni  0.000  0.500  0.250 (multiplicity 2)
F  0.194  0.743  0.590 (multiplicity 8)
F  0.206  0.227  0.172 (multiplicity 8)